Entry 1:
The following is a DFT calculation (PBEsol) of a relaxed Al2CoW crystal.

Unit cell a=6.696 b=6.696 c=5.109 alpha=90.00 beta=90.00 gamma=90.00
Space group I-42d (No. 122)
Asymmetric unit:
Al 0.208 0.250 0.125
Co 0.000 0.000 0.000
W 0.000 0.000 0.500

As for the mass density: 8.605 g/cm³. Its energy relative to the elements is 370 meV per atom. The calculation puts the distance to the lowest polymorph of the same formula at 498 meV/atom. The magnetic moment comes out at 0.004 μB per cell.

Entry 2:
The following is a DFT calculation (PBEsol) of a relaxed Al2CoW crystal.

Unit cell a=2.950 b=2.950 c=6.164 alpha=90.00 beta=90.00 gamma=90.00
Space group P4mm (No. 99)
Asymmetric unit:
Al 0.000 0.000 0.000
Al 0.500 0.500 0.279
Co 0.000 0.000 0.473
W 0.500 0.500 0.730

As for the mass density: 9.184 g/cm³. Its energy relative to the elements is -128 meV per atom. The calculation puts the distance to the lowest polymorph of the same formula at 0 meV/atom. The magnetic moment comes out at 0.006 μB per cell.

Entry 3:
The following is a DFT calculation (PBEsol) of a relaxed Al2CoW crystal.

Unit cell a=2.7691 b=2.7691 c=25.5019 alpha=90.00 beta=90.00 gamma=120.00
Space group R3m (No. 160, hexagonal axes)
Asymmetric unit:
Al 0.0000 0.0000 0.0000
Al 0.0000 0.0000 0.2404
Co 0.0000 0.0000 0.4995
W 0.0000 0.0000 0.7546

As for the mass density: 8.729 g/cm³. Its energy relative to the elements is -20 meV per atom. The calculation puts the distance to the lowest polymorph of the same formula at 108 meV/atom. The magnetic moment comes out at 2.018 μB per cell.